VASP calculation (PBE+U) on a relaxed MgVO2F crystal.

Fermi-level density of states: 1.171 states/eV per cell
crystal system: tetragonal
volume: 60 Å³ per cell
energy: -6.156 eV per atom
magnetization: 1.96 μB per cell

Cell and atoms, written as CIF:
```
data_MgVO2F
_cell_length_a 3.916
_cell_length_b 3.916
_cell_length_c 3.904
_cell_angle_alpha 90.00
_cell_angle_beta 90.00
_cell_angle_gamma 90.00
_space_group_name_H-M_alt 'P 4/m m m'
_space_group_IT_number 123
_space_group_name_Hall '-P 4 2'
loop_
_atom_site_label
_atom_site_fract_x
_atom_site_fract_y
_atom_site_fract_z
Mg1 0.000 0.000 0.000
V1 0.500 0.500 0.500
O1 0.000 0.500 0.500
F1 0.500 0.500 0.000
```